Entry 1:
# TlInHgI3

A relaxed TlInHgI3 crystal (PBE-GGA, the Alexandria database).

Lattice parameters (Å, degrees): 10.272 10.272 10.297 119.99 119.99 33.01
Positions (direct):
Tl  0.174  0.174  0.423
Tl  0.826  0.826  0.577
In  0.499  0.499  0.748
In  0.501  0.501  0.252
Hg  0.253  0.253  0.003
Hg  0.747  0.747  0.997
I  0.035  0.035  0.785
I  0.366  0.366  0.415
I  0.366  0.366  0.816
I  0.634  0.634  0.184
I  0.634  0.634  0.585
I  0.965  0.965  0.215

Properties
energy: -2.087 eV/atom
theoretical density: 5.92 Mg/m³
uncorrected formation energy: -0.411 eV/atom

Entry 2:
# Ta2CdCl

A relaxed Ta2CdCl crystal (PBE-GGA, the Alexandria database).

Lattice parameters (Å, degrees): 3.235 3.235 8.360 90.00 90.00 90.00
Positions (direct):
Ta  0.000  0.000  0.000
Ta  0.500  0.500  0.184
Cd  0.000  0.000  0.429
Cl  0.500  0.500  0.773

Properties
energy: -6.403 eV/atom
theoretical density: 9.67 Mg/m³
uncorrected formation energy: 0.214 eV/atom

Entry 3:
# MnCdIn2Tc

A relaxed MnCdIn2Tc crystal (PBE-GGA, the Alexandria database).

Lattice parameters (Å, degrees): 5.250 5.250 5.238 90.00 90.00 90.00
Positions (direct):
Mn  0.000  0.000  0.000
Cd  0.500  0.500  0.500
In  0.000  0.500  0.500
In  0.500  0.000  0.500
Tc  0.500  0.500  0.000

Properties
formation energy from the elements: 1450 meV/atom
energy: -3.735 eV/atom
theoretical density: 5.69 Mg/m³

Entry 4:
# Be2BiOs2

A relaxed Be2BiOs2 crystal (PBE-GGA, the Alexandria database).

Lattice parameters (Å, degrees): 7.166 7.166 2.864 90.00 90.00 90.00
Positions (direct):
Be  0.153  0.347  0.000
Be  0.347  0.847  0.000
Be  0.653  0.153  0.000
Be  0.847  0.653  0.000
Bi  0.000  0.000  0.500
Bi  0.500  0.500  0.500
Os  0.126  0.626  0.500
Os  0.374  0.126  0.500
Os  0.626  0.874  0.500
Os  0.874  0.374  0.500

Properties
formation energy from the elements: 496 meV/atom
energy: -6.262 eV/atom
theoretical density: 13.72 Mg/m³

> The highest energy belongs to which entry?

TlInHgI3

Please write out number 4 again, unchanged.
# Be2BiOs2

A relaxed Be2BiOs2 crystal (PBE-GGA, the Alexandria database).

Lattice parameters (Å, degrees): 7.166 7.166 2.864 90.00 90.00 90.00
Positions (direct):
Be  0.153  0.347  0.000
Be  0.347  0.847  0.000
Be  0.653  0.153  0.000
Be  0.847  0.653  0.000
Bi  0.000  0.000  0.500
Bi  0.500  0.500  0.500
Os  0.126  0.626  0.500
Os  0.374  0.126  0.500
Os  0.626  0.874  0.500
Os  0.874  0.374  0.500

Properties
formation energy from the elements: 496 meV/atom
energy: -6.262 eV/atom
theoretical density: 13.72 Mg/m³

> Which formula does entry 4 have?

Be2BiOs2